(1)
The following is a PBE-GGA calculation of a relaxed PaMnRe2 crystal, from Alexandria via LeMat-Bulk.

Cell lengths 4.7985, 3.7397, 3.7397 Å; angles 90.00, 90.00, 90.00 degrees
Sites, in units of the cell vectors:
Pa (0.5000, 0.5000, 0.5000)
Re (0.0000, 0.0000, 0.5000)
Re (0.0000, 0.5000, 0.0000)
Mn (0.5000, 0.0000, 0.0000)

Calculated values
The density of states at the Fermi level is 5.28 states/eV/f.u. Its energy relative to the lowest polymorph listed for this composition is 0.173 eV/atom. For the total magnetization, the calculation gives 0.00 μB/cell.

=====

(2)
The following is a PBE-GGA calculation of a relaxed PaMnRe crystal, from Alexandria via LeMat-Bulk.

Cell lengths 3.9595, 3.0201, 9.3601 Å; angles 90.00, 90.00, 90.00 degrees
Sites, in units of the cell vectors:
Mn (0.0000, 0.7743, 0.2500)
Mn (0.0000, 0.2257, 0.7500)
Pa (0.0000, 0.5000, 0.5000)
Pa (0.0000, 0.5000, 0.0000)
Re (0.5000, 0.7403, 0.7500)
Re (0.5000, 0.2597, 0.2500)

Calculated values
The density of states at the Fermi level is 4.25 states/eV/f.u. Its energy relative to the lowest polymorph listed for this composition is 0.508 eV/atom. For the total magnetization, the calculation gives 0.00 μB/cell.

=====

(3)
The following is a PBE-GGA calculation of a relaxed Pa2Mn16Re crystal, from Alexandria via LeMat-Bulk.

Cell lengths 6.3178, 6.3178, 6.3178 Å; angles 86.02, 86.02, 86.02 degrees
Sites, in units of the cell vectors:
Mn (0.2757, 0.7261, 0.0023)
Mn (0.3589, 0.8718, 0.3589)
Mn (0.3589, 0.3589, 0.8718)
Mn (0.6372, 0.1308, 0.6372)
Mn (0.2757, 0.0023, 0.7261)
Mn (0.8718, 0.3589, 0.3589)
Mn (0.6372, 0.6372, 0.1308)
Mn (0.1040, 0.1040, 0.1040)
Mn (0.0023, 0.7261, 0.2757)
Mn (0.0010, 0.4973, 0.0010)
Mn (0.0023, 0.2757, 0.7261)
Mn (0.4973, 0.0010, 0.0010)
Mn (0.7261, 0.2757, 0.0023)
Mn (0.1308, 0.6372, 0.6372)
Mn (0.7261, 0.0023, 0.2757)
Mn (0.0010, 0.0010, 0.4973)
Pa (0.3541, 0.3541, 0.3541)
Pa (0.6433, 0.6433, 0.6433)
Re (0.8961, 0.8961, 0.8961)

Calculated values
The density of states at the Fermi level is 20.87 states/eV/f.u. The total energy is -9.40 eV per atom. For the total magnetization, the calculation gives 7.08 μB/cell.

=====

(4)
The following is a PBE-GGA calculation of a relaxed PaMnRe crystal, from Alexandria via LeMat-Bulk.

Cell lengths 2.9163, 4.5464, 4.5464 Å; angles 120.00, 90.00, 90.00 degrees
Sites, in units of the cell vectors:
Re (0.6452, 0.3333, 0.6667)
Mn (0.0154, 0.0000, 0.0000)
Pa (0.3394, 0.6667, 0.3333)

Calculated values
The density of states at the Fermi level is 3.27 states/eV/f.u. Its energy relative to the lowest polymorph listed for this composition is 0.395 eV/atom. For the total magnetization, the calculation gives 2.71 μB/cell.

=====

(5)
The following is a PBE-GGA calculation of a relaxed PaMnRe2 crystal, from Alexandria via LeMat-Bulk.

Cell lengths 2.8247, 2.8247, 9.5887 Å; angles 81.53, 81.53, 60.00 degrees
Sites, in units of the cell vectors:
Mn (0.0000, 0.0000, 0.0000)
Pa (0.5000, 0.5000, 0.5000)
Re (0.7367, 0.7367, 0.7900)
Re (0.2633, 0.2633, 0.2100)

Calculated values
The density of states at the Fermi level is 5.10 states/eV/f.u. Its energy relative to the lowest polymorph listed for this composition is 0.206 eV/atom. For the total magnetization, the calculation gives 0.00 μB/cell.

=====

(6)
The following is a PBE-GGA calculation of a relaxed PaMnRe crystal, from Alexandria via LeMat-Bulk.

Cell lengths 5.3268, 5.2981, 5.2981 Å; angles 58.65, 59.82, 59.82 degrees
Sites, in units of the cell vectors:
Mn (0.5000, 0.0000, 0.0000)
Mn (0.0000, 0.0000, 0.0000)
Pa (0.1209, 0.6291, 0.6291)
Pa (0.8791, 0.3709, 0.3709)
Re (0.5000, 0.5000, 0.0000)
Re (0.5000, 0.0000, 0.5000)

Calculated values
The density of states at the Fermi level is 4.24 states/eV/f.u. Its energy relative to the lowest polymorph listed for this composition is 0.000 eV/atom. For the total magnetization, the calculation gives 3.15 μB/cell.